Record 1
# PBE MnMoSe2, optimized geometry
# - energy relative to the lowest polymorph listed for this composition (eV per atom) = 0.893
# - energy relative to the elements, uncorrected (eV per atom) = 0.59
data_MnMoSe2
_chemical_formula_sum 'Mn4 Mo4 Se8'
_space_group_name_H-M_alt 'F -4 3 m'
_space_group_IT_number 216
_space_group_name_Hall 'F -4 2 3'
_cell_length_a 6.4523
_cell_length_b 6.4523
_cell_length_c 6.4523
_cell_angle_alpha 90.00
_cell_angle_beta 90.00
_cell_angle_gamma 90.00
loop_
_atom_site_label
_atom_site_fract_x
_atom_site_fract_y
_atom_site_fract_z
Mn1 0.0000 0.0000 0.0000
Mo1 0.2500 0.2500 0.7500
Se1 0.0000 0.0000 0.5000
Se2 0.2500 0.2500 0.2500


Record 2
# PBE PrAl4Pd4, optimized geometry
# - formation energy (eV/atom) = -0.77
data_PrAl4Pd4
_chemical_formula_sum 'Pr2 Al8 Pd8'
_space_group_name_H-M_alt 'P 42/n m c'
_space_group_IT_number 137
_cell_length_a 6.1293
_cell_length_b 6.1293
_cell_length_c 8.6100
_cell_angle_alpha 90.00
_cell_angle_beta 90.00
_cell_angle_gamma 90.00
loop_
_space_group_symop_operation_xyz
'x,y,z'
'-x,-y,-z'
'-y+1/2,x,z+1/2'
'y+1/2,-x,-z+1/2'
'-x+1/2,-y+1/2,z'
'x+1/2,y+1/2,-z'
'y,-x+1/2,z+1/2'
'-y,x+1/2,-z+1/2'
'x+1/2,-y,-z'
'-x+1/2,y,z'
'-y,-x,-z+1/2'
'y,x,z+1/2'
'-x,y+1/2,-z'
'x,-y+1/2,z'
'y+1/2,x+1/2,-z+1/2'
'-y+1/2,-x+1/2,z+1/2'
loop_
_atom_site_label
_atom_site_fract_x
_atom_site_fract_y
_atom_site_fract_z
Pr1 0.2500 0.7500 0.2500
Al1 0.0382 0.2500 0.0680
Pd1 0.0204 0.2500 0.3646


Record 3
# PBE RbNa2Ag, optimized geometry
# - formation energy (eV/atom) = 0.17
# - energy relative to the lowest polymorph listed for this composition (eV per atom) = 0.152
data_RbNa2Ag
_chemical_formula_sum 'Rb3 Na6 Ag3'
_space_group_name_H-M_alt 'R -3 m'
_space_group_IT_number 166
_space_group_name_Hall '-R 3 2"'
_cell_length_a 4.3778
_cell_length_b 4.3778
_cell_length_c 34.1418
_cell_angle_alpha 90.00
_cell_angle_beta 90.00
_cell_angle_gamma 120.00
loop_
_atom_site_label
_atom_site_fract_x
_atom_site_fract_y
_atom_site_fract_z
Rb1 0.0000 0.0000 0.0000
Na1 0.0000 0.0000 0.1185
Ag1 0.0000 0.0000 0.5000


Record 4
# PBE RbMoPb3, optimized geometry
# - formation energy (eV/atom) = 2.24
# - energy relative to the lowest polymorph listed for this composition (eV per atom) = 1.989
data_RbMoPb3
_chemical_formula_sum 'Rb1 Mo1 Pb3'
_space_group_name_H-M_alt 'P m -3 m'
_space_group_IT_number 221
_space_group_name_Hall '-P 4 2 3'
_cell_length_a 5.8967
_cell_length_b 5.8967
_cell_length_c 5.8967
_cell_angle_alpha 90.00
_cell_angle_beta 90.00
_cell_angle_gamma 90.00
loop_
_atom_site_label
_atom_site_fract_x
_atom_site_fract_y
_atom_site_fract_z
Rb1 0.0000 0.0000 0.0000
Mo1 0.5000 0.5000 0.5000
Pb1 0.0000 0.0000 0.5000


Record 5
# PBE Ce5Zn2Rh2, optimized geometry
# - formation energy (eV/atom) = -0.37
data_Ce5Zn2Rh2
_chemical_formula_sum 'Ce20 Zn8 Rh8'
_space_group_name_H-M_alt 'I m a 2'
_space_group_IT_number 46
_space_group_name_Hall 'I 2 -2a'
_cell_length_a 19.3940
_cell_length_b 6.0819
_cell_length_c 7.1625
_cell_angle_alpha 90.00
_cell_angle_beta 90.00
_cell_angle_gamma 90.00
loop_
_atom_site_label
_atom_site_fract_x
_atom_site_fract_y
_atom_site_fract_z
Ce1 0.0834 0.1506 0.0000
Ce2 0.1593 0.6246 0.8582
Ce3 0.2500 0.1350 0.7073
Zn1 0.0484 0.6413 0.1531
Rh1 0.0000 0.0000 0.3166
Rh2 0.2500 0.5775 0.5443


Record 6
# PBE AlCo2, optimized geometry
# - formation energy (eV/atom) = -0.02
data_AlCo2
_chemical_formula_sum 'Al4 Co8'
_space_group_name_H-M_alt 'I m m a'
_space_group_IT_number 74
_space_group_name_Hall '-I 2b 2'
_cell_length_a 2.5694
_cell_length_b 3.8096
_cell_length_c 15.3647
_cell_angle_alpha 90.00
_cell_angle_beta 90.00
_cell_angle_gamma 90.00
loop_
_atom_site_label
_atom_site_fract_x
_atom_site_fract_y
_atom_site_fract_z
Al1 0.0000 0.2500 0.1226
Co1 0.0000 0.2500 0.5376
Co2 0.0000 0.2500 0.6884


Record 7
# PBE Sr2PbAu8, optimized geometry
# - formation energy (eV/atom) = -0.41
data_Sr2PbAu8
_chemical_formula_sum 'Sr4 Pb2 Au16'
_space_group_name_H-M_alt 'C 1 2/m 1'
_space_group_IT_number 12
_space_group_name_Hall '-C 2y'
_cell_length_a 5.6227
_cell_length_b 18.9671
_cell_length_c 5.4283
_cell_angle_alpha 90.00
_cell_angle_beta 118.91
_cell_angle_gamma 90.00
loop_
_atom_site_label
_atom_site_fract_x
_atom_site_fract_y
_atom_site_fract_z
Sr1 0.0000 0.1557 0.0000
Pb1 0.0000 0.0000 0.5000
Au1 0.0000 0.2453 0.5000
Au2 0.1342 0.3735 0.3086
Au3 0.1925 0.5000 0.8445


Record 8
# PBE BBrF, optimized geometry
# - energy relative to the lowest polymorph listed for this composition (eV per atom) = 0.003
# - energy relative to the elements, uncorrected (eV per atom) = -1.32
data_BBrF
_chemical_formula_sum 'B2 Br2 F2'
_space_group_name_H-M_alt 'P -1'
_space_group_IT_number 2
_space_group_name_Hall '-P 1'
_cell_length_a 4.0873
_cell_length_b 5.4454
_cell_length_c 6.8663
_cell_angle_alpha 78.15
_cell_angle_beta 82.49
_cell_angle_gamma 82.04
loop_
_atom_site_label
_atom_site_fract_x
_atom_site_fract_y
_atom_site_fract_z
B1 0.0544 0.0335 0.1073
Br1 0.3491 0.7906 0.2725
F1 0.0512 0.7505 0.8320


Record 9
# PBE LaBiPPd2, optimized geometry
# - formation energy (eV/atom) = -0.46
data_LaBiPPd2
_chemical_formula_sum 'La1 Bi1 P1 Pd2'
_space_group_name_H-M_alt 'P 4/m m m'
_space_group_IT_number 123
_space_group_name_Hall '-P 4 2'
_cell_length_a 4.6179
_cell_length_b 4.6179
_cell_length_c 5.6501
_cell_angle_alpha 90.00
_cell_angle_beta 90.00
_cell_angle_gamma 90.00
loop_
_atom_site_label
_atom_site_fract_x
_atom_site_fract_y
_atom_site_fract_z
La1 0.0000 0.0000 0.0000
Bi1 0.5000 0.5000 0.0000
P1 0.5000 0.5000 0.5000
Pd1 0.0000 0.5000 0.5000


Record 10
# PBE Er2ZnGe3Pd4, optimized geometry
# - formation energy (eV/atom) = -0.74
data_Er2ZnGe3Pd4
_chemical_formula_sum 'Er2 Zn1 Ge3 Pd4'
_space_group_name_H-M_alt 'P -4 m 2'
_space_group_IT_number 115
_space_group_name_Hall 'P -4 -2'
_cell_length_a 4.1829
_cell_length_b 4.1829
_cell_length_c 10.4897
_cell_angle_alpha 90.00
_cell_angle_beta 90.00
_cell_angle_gamma 90.00
loop_
_atom_site_label
_atom_site_fract_x
_atom_site_fract_y
_atom_site_fract_z
Er1 0.0000 0.5000 0.2485
Zn1 0.5000 0.5000 0.0000
Ge1 0.0000 0.0000 0.0000
Ge2 0.0000 0.5000 0.6347
Pd1 0.0000 0.0000 0.5000
Pd2 0.0000 0.5000 0.8635
Pd3 0.5000 0.5000 0.5000


Record 11
# PBE NiTeH, optimized geometry
# - calculated total energy (eV/atom) = -4.05
data_NiTeH
_chemical_formula_sum 'Ni1 Te1 H1'
_space_group_name_H-M_alt 'P 1 2/m 1'
_space_group_IT_number 10
_space_group_name_Hall '-P 2y'
_cell_length_a 3.1383
_cell_length_b 3.7606
_cell_length_c 3.7050
_cell_angle_alpha 90.00
_cell_angle_beta 90.68
_cell_angle_gamma 90.00
loop_
_atom_site_label
_atom_site_fract_x
_atom_site_fract_y
_atom_site_fract_z
Ni1 0.0000 0.0000 0.0000
Te1 0.0000 0.5000 0.5000
H1 0.5000 0.0000 0.0000


Record 12
# PBE Hg2AsSe, optimized geometry
# - energy relative to the elements, uncorrected (eV per atom) = 0.14
data_Hg2AsSe
_chemical_formula_sum 'Hg4 As2 Se2'
_space_group_name_H-M_alt 'C m m 2'
_space_group_IT_number 35
_space_group_name_Hall 'C 2 -2'
_cell_length_a 3.4245
_cell_length_b 6.7702
_cell_length_c 10.7589
_cell_angle_alpha 90.00
_cell_angle_beta 90.00
_cell_angle_gamma 90.00
loop_
_atom_site_label
_atom_site_fract_x
_atom_site_fract_y
_atom_site_fract_z
Hg1 0.0000 0.0000 0.0000
Hg2 0.0000 0.5000 0.2822
As1 0.0000 0.0000 0.5496
Se1 0.0000 0.5000 0.7063